VASP calculation (PBE-GGA) on a relaxed structure of YHo3Sc2.

- Final energy: -124.2 eV for the cell shown
- Energy above the most stable polymorph in this dataset: 150 meV/atom
- Calculated formation energy: 0.3017 eV per atom
- DOS(E_F): 1.862 states/eV per atom
- Volume: 31.19 Å³ per atom

Cell lengths 14.2378, 9.6803, 5.4307 Å; angles 90.00, 90.00, 90.00 degrees
With the nearest neighbours (Å) after each atom.
Space group Cmcm (No. 63)
Asymmetric unit:
Y  0.0000  0.2232  0.2500 (multiplicity 4)  3 Ho 3.24-3.58, 6 Sc 3.35-3.43
Ho  0.0000  0.4065  0.7500 (multiplicity 4)  3 Y 3.24-3.58, 4 Ho 3.26-3.47, 2 Sc 3.38
Ho  0.2422  0.3683  0.7500 (multiplicity 8)  2 Sc 3.07-3.28
Sc  0.1066  0.0941  0.7500 (multiplicity 8)  3 Sc 3.04-3.27, 3 Ho 3.07-3.38, 2 Y 3.35

VASP calculation (PBE-GGA) on a relaxed structure of RbInPb4.

- Final energy: -37.3 eV for the cell shown
- Energy above the most stable polymorph in this dataset: 4 meV/atom
- Calculated formation energy: -0.0225 eV per atom
- DOS(E_F): 0.305 states/eV per atom
- Volume: 37.15 Å³ per atom

Cell lengths 6.8991, 8.0091, 9.5676 Å; angles 114.42, 109.71, 90.82 degrees
With the nearest neighbours (Å) after each atom.
Space group P-1 (No. 2)
Asymmetric unit:
Rb  0.2491  0.3275  0.0000 (multiplicity 2)  8 Pb 3.79-4.06, 2 In 4.08
In  0.0000  0.0000  0.5000 (multiplicity 1)  8 Pb 3.16-3.49
In  0.5000  0.5000  0.5000 (multiplicity 1)  8 Pb 3.15-3.44
Pb  0.0521  0.1676  0.2646 (multiplicity 2)  2 In 3.17-3.44, 4 Pb 3.21-3.51
Pb  0.1658  0.4557  0.6459 (multiplicity 2)  2 In 3.15-3.34, 3 Pb 3.21-3.31
Pb  0.3316  0.8069  0.3563 (multiplicity 2)  2 In 3.16-3.33, 3 Pb 3.20-3.31
Pb  0.4520  0.9064  0.7391 (multiplicity 2)  4 Pb 3.20-3.51, 2 In 3.21-3.49

VASP calculation (PBE-GGA) on a relaxed structure of Nd2AlS.

- Final energy: -64.3 eV for the cell shown
- Energy above the most stable polymorph in this dataset: 189 meV/atom
- Formation energy (no corrections): -1.009 eV/atom
- DOS(E_F): 1.042 states/eV per atom
- Volume: 27.10 Å³ per atom

Cell lengths 3.9351, 3.9351, 24.2465 Å; angles 90.00, 90.00, 120.00 degrees
With the nearest neighbours (Å) after each atom.
Space group R3m (No. 160, hexagonal axes)
Asymmetric unit:
Nd  0.0000  0.0000  0.0000 (multiplicity 3)  3 S 2.84
Nd  0.0000  0.0000  0.1911 (multiplicity 3)  3 S 2.87
Al  0.0000  0.0000  0.4283 (multiplicity 3)  6 Nd 3.23-3.25
S  0.0000  0.0000  0.5967 (multiplicity 3)  6 Nd 2.84-2.87

VASP calculation (PBE-GGA) on a relaxed structure of AlIn2Mo.

- Final energy: -18.8 eV for the cell shown
- Calculated formation energy: 0.3075 eV per atom
- DOS(E_F): 0.562 states/eV per atom
- Volume: 19.33 Å³ per atom

Cell lengths 2.9411, 5.0575, 5.2009 Å; angles 90.00, 92.02, 90.00 degrees
With the nearest neighbours (Å) after each atom.
Space group P2/m (No. 10)
Asymmetric unit:
Al  0.0000  0.0000  0.0000 (multiplicity 1)  4 In 2.91, 2 Al 2.94, 4 Mo 2.94-3.03
In  0.2081  0.5000  0.2550 (multiplicity 2)  5 In 2.87-3.02, 2 Al 2.91, 2 Mo 2.95
Mo  0.5000  0.0000  0.5000 (multiplicity 1)  2 Mo 2.94, 4 Al 2.94-3.03, 4 In 2.95

VASP calculation (PBE-GGA) on a relaxed structure of Ce3I2N2.

- Final energy: -92.7 eV for the cell shown
- Formation energy (no corrections): -1.258 eV/atom
- DOS(E_F): 1.961 states/eV per atom
- Volume: 26.40 Å³ per atom

Cell lengths 11.9505, 3.7000, 8.5152 Å; angles 90.00, 101.01, 90.00 degrees
With the nearest neighbours (Å) after each atom.
Space group C2/m (No. 12)
Asymmetric unit:
Ce  0.0000  0.0000  0.0000 (multiplicity 2)  4 N 2.55
Ce  0.2215  0.0000  0.8208 (multiplicity 4)  3 N 2.26-2.50
I  0.1152  0.0000  0.3689 (multiplicity 4)  3 Ce 3.18-3.32
N  0.1382  0.5000  0.9597 (multiplicity 4)  3 Ce 2.26-2.50

VASP calculation (PBE-GGA) on a relaxed structure of Sb2AsIr.

- Final energy: -42.3 eV for the cell shown
- Energy above the most stable polymorph in this dataset: 198 meV/atom
- Formation energy (no corrections): 0.154 eV/atom
- DOS(E_F): 0.742 states/eV per atom
- Volume: 22.41 Å³ per atom

Cell lengths 3.2300, 4.8283, 11.4955 Å; angles 90.00, 90.00, 90.00 degrees
With the nearest neighbours (Å) after each atom.
Space group Imm2 (No. 44)
Asymmetric unit:
Sb  0.0000  0.0000  0.0000 (multiplicity 2)  4 Ir 2.91, 2 As 3.18, 2 Sb 3.23
Sb  0.0000  0.5000  0.1926 (multiplicity 2)  2 Ir 2.84
As  0.0000  0.5000  0.8200 (multiplicity 2)  2 Ir 2.53
Ir  0.0000  0.0000  0.4892 (multiplicity 2)  2 As 2.53

VASP calculation (PBE-GGA) on a relaxed structure of BeTeN2O.

- Final energy: -25.0 eV for the cell shown
- Formation energy (no corrections): 0.689 eV/atom
- DOS(E_F): 0.674 states/eV per atom
- Volume: 9.49 Å³ per atom

Cell lengths 3.6566, 3.6566, 3.5490 Å; angles 90.00, 90.00, 90.00 degrees
With the nearest neighbours (Å) after each atom.
Space group P4/mmm (No. 123)
Asymmetric unit:
Be  0.0000  0.0000  0.0000 (multiplicity 1)  2 O 1.77, 4 N 1.83
Te  0.5000  0.5000  0.5000 (multiplicity 1)  8 N 2.55, 4 O 2.59
N  0.0000  0.5000  0.0000 (multiplicity 2)  2 Be 1.83
O  0.0000  0.0000  0.5000 (multiplicity 1)  2 Be 1.77

VASP calculation (PBE-GGA) on a relaxed structure of Sc2In2Sb.

- Final energy: -48.5 eV for the cell shown
- Energy above the most stable polymorph in this dataset: 0 meV/atom
- Formation energy (no corrections): -0.402 eV/atom
- DOS(E_F): 0.890 states/eV per atom
- Volume: 25.28 Å³ per atom

Cell lengths 7.4460, 7.4460, 4.5599 Å; angles 90.00, 90.00, 90.00 degrees
With the nearest neighbours (Å) after each atom.
Space group P4/mbm (No. 127)
Asymmetric unit:
Sc  0.1580  0.3420  0.0000 (multiplicity 4)  2 Sb 2.81, 2 In 3.08
In  0.1452  0.6452  0.5000 (multiplicity 4)  1 In 3.06, 6 Sc 3.08-3.21
Sb  0.0000  0.0000  0.0000 (multiplicity 2)  4 Sc 2.81

VASP calculation (PBE-GGA) on a relaxed structure of NiAu2.

- Final energy: -23.9 eV for the cell shown
- Calculated formation energy: 0.1247 eV per atom
- DOS(E_F): 0.757 states/eV per atom
- Volume: 15.85 Å³ per atom

Cell lengths 4.4830, 4.4830, 5.4649 Å; angles 90.00, 90.00, 120.00 degrees
With the nearest neighbours (Å) after each atom.
Space group P6_3/mmc (No. 194)
Asymmetric unit:
Ni  0.3333  0.6667  0.2500 (multiplicity 2)  5 Au 2.59-2.73
Au  0.0000  0.0000  0.0000 (multiplicity 2)  8 Au 2.73-2.93, 6 Ni 2.93
Au  0.3333  0.6667  0.7500 (multiplicity 2)  5 Ni 2.59-2.73

VASP calculation (PBE-GGA) on a relaxed structure of Ba4PtPb.

- Final energy: -60.8 eV for the cell shown
- Energy above the most stable polymorph in this dataset: 870 meV/atom
- Calculated formation energy: 0.3748 eV per atom
- DOS(E_F): 0.757 states/eV per atom
- Volume: 39.42 Å³ per atom

Cell lengths 9.8168, 9.8168, 9.8168 Å; angles 90.00, 90.00, 90.00 degrees
With the nearest neighbours (Å) after each atom.
Space group F-43m (No. 216)
Asymmetric unit:
Ba  0.1255  0.1255  0.1255 (multiplicity 16)  6 Ba 3.46-3.48
Pt  0.0000  0.0000  0.5000 (multiplicity 4)  12 Ba 4.07, 4 Pb 4.25
Pb  0.2500  0.2500  0.7500 (multiplicity 4)  12 Ba 4.07, 4 Pt 4.25

VASP calculation (PBE-GGA) on a relaxed structure of Pm4Nd2YEr2.

- Final energy: -87.9 eV for the cell shown
- Calculated formation energy: 0.0203 eV per atom
- DOS(E_F): 1.579 states/eV per atom
- Volume: 33.50 Å³ per atom

Cell lengths 15.3864, 5.1253, 8.0665 Å; angles 90.00, 108.57, 90.00 degrees
With the nearest neighbours (Å) after each atom.
Space group C2/m (No. 12)
Asymmetric unit:
Pm  0.0554  0.0000  0.3312 (multiplicity 4)  2 Y 3.60, 2 Er 3.61, 4 Pm 3.62-3.64, 4 Nd 3.63-3.64
Pm  0.2219  0.5000  0.3306 (multiplicity 4)  3 Er 3.60, 1 Y 3.60, 3 Nd 3.62-3.64, 5 Pm 3.62-3.64
Nd  0.1118  0.5000  0.6688 (multiplicity 4)  3 Er 3.59-3.60, 1 Y 3.61, 7 Pm 3.62-3.64, 1 Nd 3.65
Y  0.0000  0.5000  0.0000 (multiplicity 2)  6 Pm 3.60, 2 Nd 3.61, 4 Er 3.63
Er  0.1672  0.0000  0.0001 (multiplicity 4)  3 Nd 3.59-3.60, 5 Pm 3.60-3.61, 2 Er 3.62, 2 Y 3.63

VASP calculation (PBE-GGA) on a relaxed structure of CdGa2Mo2.

- Final energy: -55.8 eV for the cell shown
- Energy above the most stable polymorph in this dataset: 0 meV/atom
- Calculated formation energy: 0.1477 eV per atom
- DOS(E_F): 0.275 states/eV per atom
- Volume: 17.52 Å³ per atom

Cell lengths 7.3150, 7.3150, 3.2742 Å; angles 90.00, 90.00, 90.00 degrees
With the nearest neighbours (Å) after each atom.
Space group P4/mbm (No. 127)
Asymmetric unit:
Cd  0.0000  0.0000  0.0000 (multiplicity 2)  4 Mo 2.93, 8 Ga 3.15, 2 Cd 3.27
Ga  0.1761  0.3239  0.5000 (multiplicity 4)  6 Mo 2.70-2.73
Mo  0.1166  0.6166  0.0000 (multiplicity 4)  1 Mo 2.41, 2 Ga 2.70